Entry P
## VSbI2F (PBE with a Hubbard U)

Data for a geometry-optimized VSbI2F structure.

The space group is P4/mmm (No. 123) and the conventional cell measures 5.957, 5.957 and 4.214 Å, with angles of 90.00, 90.00 and 90.00 degrees. The distinct sites, in fractional coordinates, are V at (0.000, 0.000, 0.000), Sb at (0.500, 0.500, 0.000), I at (0.000, 0.500, 0.500) and F at (0.500, 0.500, 0.500).



Entry Q
## VSbI2F (PBE with a Hubbard U)

Data for a geometry-optimized VSbI2F structure.

The space group is P4/mmm (No. 123) and the conventional cell measures 5.453, 5.453 and 5.377 Å, with angles of 90.00, 90.00 and 90.00 degrees. The distinct sites, in fractional coordinates, are V at (0.000, 0.000, 0.000), Sb at (0.000, 0.000, 0.500), I at (0.000, 0.500, 0.000) and F at (0.500, 0.500, 0.500).



Which of them is the most stable, and which is the least stable? entry P and entry Q, in that order.



Entry P
## Sb2WIF (PBE with a Hubbard U)

Data for a geometry-optimized Sb2WIF structure.

The space group is P4/mmm (No. 123) and the conventional cell measures 5.347, 5.347 and 5.583 Å, with angles of 90.00, 90.00 and 90.00 degrees. The distinct sites, in fractional coordinates, are Sb at (0.000, 0.500, 0.000), W at (0.000, 0.000, 0.000), I at (0.000, 0.000, 0.500) and F at (0.500, 0.500, 0.500).



Entry Q
## Sb2WIF (PBE with a Hubbard U)

Data for a geometry-optimized Sb2WIF structure.

The space group is P4/mmm (No. 123) and the conventional cell measures 4.691, 4.691 and 6.047 Å, with angles of 90.00, 90.00 and 90.00 degrees. The distinct sites, in fractional coordinates, are Sb at (0.000, 0.500, 0.000), W at (0.000, 0.000, 0.500), I at (0.500, 0.500, 0.500) and F at (0.500, 0.500, 0.000).



Which of them is the most stable, and which is the least stable? entry P and entry Q, in that order.